The following is a DFT calculation (PBE-GGA) of a relaxed Tl2Si3Au9 crystal.

Cell lengths 7.508, 7.508, 12.029 Å; angles 106.73, 106.73, 65.66 degrees
Fractional coordinates of all 28 atoms:
Tl: 0.061 0.207 0.266
Tl: 0.207 0.061 0.766
Tl: 0.793 0.939 0.234
Tl: 0.939 0.793 0.734
Si: 0.000 0.500 0.000
Si: 0.137 0.637 0.432
Si: 0.363 0.863 0.068
Si: 0.500 0.000 0.500
Si: 0.637 0.137 0.932
Si: 0.863 0.363 0.568
Au: 0.048 0.807 0.006
Au: 0.160 0.537 0.218
Au: 0.187 0.361 0.552
Au: 0.193 0.952 0.494
Au: 0.334 0.448 0.913
Au: 0.361 0.187 0.052
Au: 0.404 0.596 0.750
Au: 0.448 0.334 0.413
Au: 0.463 0.840 0.282
Au: 0.537 0.160 0.718
Au: 0.552 0.666 0.587
Au: 0.596 0.404 0.250
Au: 0.639 0.813 0.948
Au: 0.666 0.552 0.087
Au: 0.807 0.048 0.506
Au: 0.813 0.639 0.448
Au: 0.840 0.463 0.782
Au: 0.952 0.193 0.994

Properties
V = 580.4 Å³/cell
space group = C2/c (15)
calculated density = 12.97 g cm⁻³
E_form (uncorrected) = 0.03 eV per atom
total magnetic moment = 0.000 μB/atom